[1]
First-principles (PBE-GGA) data for crystalline MgCdAs4Pb2 at its relaxed geometry, as listed in the Open Quantum Materials Database.

Calculated values
electronic total energy: -3.64 eV per atom

Unit cell a=7.6436 b=7.6436 c=7.6436 alpha=131.61 beta=131.61 gamma=70.84
Closest atoms and distances in Å follow each position.
Atoms (fractional coordinates):
As: 0.1267 0.6359 0.0154  1 Mg 2.64, 1 Cd 2.69, 2 Pb 2.75
Cd: 0.0000 0.0000 0.0000  4 As 2.69
Mg: 0.2500 0.7500 0.5000  4 As 2.64
As: 0.3641 0.3795 0.4908  1 Mg 2.64, 1 Cd 2.69, 2 Pb 2.75
As: 0.8887 0.8733 0.5092  1 Mg 2.64, 1 Cd 2.69, 2 Pb 2.75
Pb: 0.5000 0.5000 0.0000  4 As 2.75
As: 0.6205 0.1113 0.9846  1 Mg 2.64, 1 Cd 2.69, 2 Pb 2.75
Pb: 0.7500 0.2500 0.5000  4 As 2.75


[2]
First-principles (PBE-GGA) data for crystalline SmGd2Ni4Sn4 at its relaxed geometry, as listed in the Open Quantum Materials Database.

Calculated values
electronic total energy: -5.32 eV per atom
size of the total moment: 0.01 μB/f.u.

Unit cell a=8.3015 b=8.3015 c=8.3015 alpha=149.10 beta=129.81 gamma=60.12
Closest atoms and distances in Å follow each position.
Atoms (fractional coordinates):
Sn: 0.7029 0.5000 0.2029  2 Ni 2.67, 1 Sn 2.86
Gd: 0.3683 0.8683 0.5000  6 Ni 3.05-3.17, 6 Sn 3.10-3.24
Ni: 0.9869 0.6781 0.3088  4 Sn 2.65-2.67, 1 Ni 2.69
Sn: 0.2168 0.2168 0.0000  6 Ni 2.65
Gd: 0.6317 0.1317 0.5000  6 Ni 3.05-3.17, 6 Sn 3.10-3.24
Ni: 0.3692 0.6781 0.6912  4 Sn 2.65-2.67, 1 Ni 2.69
Sn: 0.2971 0.5000 0.7971  2 Ni 2.67, 1 Sn 2.86
Ni: 0.0131 0.3219 0.6912  4 Sn 2.65-2.67, 1 Ni 2.69
Ni: 0.6308 0.3219 0.3088  4 Sn 2.65-2.67, 1 Ni 2.69
Sn: 0.7832 0.7832 0.0000  6 Ni 2.65
Sm: 0.0000 0.0000 0.0000  6 Sn 3.04-3.12